(1)
# Cr2NiGe2

A geometry-optimized Cr2NiGe2 structure (GGA-PBE, the Alexandria database).

energy of formation from the pure elements: 0.066 eV/atom

a = 6.145 Å, b = 6.145 Å, c = 3.712 Å
α = 90.00°, β = 90.00°, γ = 90.00°
Fractional coordinates of all 10 atoms:
Cr1 0.160 0.340 0.000
Cr2 0.340 0.840 0.000
Cr3 0.660 0.160 0.000
Cr4 0.840 0.660 0.000
Ni1 0.000 0.000 0.500
Ni2 0.500 0.500 0.500
Ge1 0.146 0.646 0.500
Ge2 0.354 0.146 0.500
Ge3 0.646 0.854 0.500
Ge4 0.854 0.354 0.500

(2)
# Ho3BSe6

A geometry-optimized Ho3BSe6 structure (GGA-PBE, the Alexandria database).

energy: -5.510 eV per atom

a = 8.775 Å, b = 8.775 Å, c = 6.553 Å
α = 90.00°, β = 90.00°, γ = 101.94°
Fractional coordinates of all 20 atoms:
Ho1 0.097 0.903 0.500
Ho2 0.219 0.418 0.387
Ho3 0.418 0.219 0.887
Ho4 0.582 0.781 0.387
Ho5 0.781 0.582 0.887
Ho6 0.903 0.097 0.000
B1 0.303 0.697 0.842
B2 0.697 0.303 0.342
Se1 0.089 0.607 0.699
Se2 0.127 0.199 0.695
Se3 0.199 0.127 0.195
Se4 0.290 0.710 0.159
Se5 0.393 0.911 0.699
Se6 0.448 0.552 0.721
Se7 0.552 0.448 0.221
Se8 0.607 0.089 0.199
Se9 0.710 0.290 0.659
Se10 0.801 0.873 0.695
Se11 0.873 0.801 0.195
Se12 0.911 0.393 0.199

(3)
# LiPm5Pb8

A geometry-optimized LiPm5Pb8 structure (GGA-PBE, the Alexandria database).

energy of formation from the pure elements: -0.346 eV/atom

a = 8.212 Å, b = 8.212 Å, c = 8.212 Å
α = 107.89°, β = 107.89°, γ = 112.68°
Fractional coordinates of all 14 atoms:
Li1 0.000 0.000 0.000
Pm1 0.160 0.507 0.897
Pm2 0.250 0.750 0.500
Pm3 0.493 0.391 0.653
Pm4 0.609 0.262 0.103
Pm5 0.738 0.840 0.347
Pb1 0.009 0.279 0.395
Pb2 0.173 0.093 0.741
Pb3 0.352 0.432 0.259
Pb4 0.386 0.991 0.270
Pb5 0.568 0.827 0.920
Pb6 0.721 0.116 0.730
Pb7 0.884 0.614 0.605
Pb8 0.907 0.648 0.080

(4)
# SrUAs

A geometry-optimized SrUAs structure (GGA-PBE, the Alexandria database).

energy of formation from the pure elements: -0.574 eV/atom

a = 4.040 Å, b = 4.040 Å, c = 10.648 Å
α = 90.00°, β = 90.00°, γ = 90.00°
Fractional coordinates of all 6 atoms:
Sr1 0.250 0.250 0.171
Sr2 0.750 0.750 0.829
U1 0.250 0.750 0.500
U2 0.750 0.250 0.500
As1 0.250 0.250 0.706
As2 0.750 0.750 0.294

(5)
# CePN

A geometry-optimized CePN structure (GGA-PBE, the Alexandria database).

distance to the lowest polymorph of the same formula: 0.332 eV/atom

a = 4.367 Å, b = 4.367 Å, c = 4.367 Å
α = 126.11°, β = 126.11°, γ = 79.71°
Fractional coordinates of all 3 atoms:
Ce1 0.000 0.000 0.000
P1 0.414 0.414 0.000
N1 0.661 0.661 0.000

(6)
# LiAl2Tc

A geometry-optimized LiAl2Tc structure (GGA-PBE, the Alexandria database).

energy of formation from the pure elements: -0.293 eV/atom
distance to the lowest polymorph of the same formula: 0.018 eV/atom

a = 4.753 Å, b = 4.753 Å, c = 4.753 Å
α = 133.32°, β = 133.32°, γ = 68.15°
Fractional coordinates of all 4 atoms:
Li1 0.000 0.000 0.000
Al1 0.250 0.750 0.500
Al2 0.750 0.250 0.500
Tc1 0.500 0.500 0.000

(7)
# Tb6PrHo3

A geometry-optimized Tb6PrHo3 structure (GGA-PBE, the Alexandria database).

energy of formation from the pure elements: 0.151 eV/atom
distance to the lowest polymorph of the same formula: 0.000 eV/atom

a = 10.996 Å, b = 10.996 Å, c = 6.199 Å
α = 90.00°, β = 90.00°, γ = 119.67°
Fractional coordinates of all 20 atoms:
Tb1 0.043 0.463 0.957
Tb2 0.045 0.955 0.500
Tb3 0.282 0.718 0.231
Tb4 0.290 0.380 0.123
Tb5 0.380 0.290 0.623
Tb6 0.463 0.043 0.457
Tb7 0.537 0.957 0.957
Tb8 0.620 0.710 0.123
Tb9 0.710 0.620 0.623
Tb10 0.718 0.282 0.731
Tb11 0.955 0.045 0.000
Tb12 0.957 0.537 0.457
Pr1 0.204 0.796 0.732
Pr2 0.796 0.204 0.232
Ho1 0.063 0.283 0.549
Ho2 0.283 0.063 0.049
Ho3 0.389 0.611 0.661
Ho4 0.611 0.389 0.161
Ho5 0.717 0.937 0.549
Ho6 0.937 0.717 0.049

(8)
# RbPtI2N

A geometry-optimized RbPtI2N structure (GGA-PBE, the Alexandria database).

distance to the lowest polymorph of the same formula: 0.000 eV/atom

a = 6.101 Å, b = 6.101 Å, c = 3.793 Å
α = 90.00°, β = 90.00°, γ = 90.00°
Fractional coordinates of all 5 atoms:
Rb1 0.000 0.000 0.000
Pt1 0.500 0.500 0.500
I1 0.000 0.500 0.500
I2 0.500 0.000 0.500
N1 0.500 0.500 0.000

(9)
# Tl2ReTc

A geometry-optimized Tl2ReTc structure (GGA-PBE, the Alexandria database).

energy of formation from the pure elements: 1.494 eV/atom
distance to the lowest polymorph of the same formula: 1.083 eV/atom

a = 6.126 Å, b = 6.126 Å, c = 6.126 Å
α = 102.10°, β = 102.10°, γ = 125.50°
Fractional coordinates of all 8 atoms:
Tl1 0.125 0.125 0.500
Tl2 0.375 0.875 0.000
Tl3 0.625 0.625 0.500
Tl4 0.875 0.375 0.000
Re1 0.000 0.000 0.000
Re2 0.750 0.250 0.500
Tc1 0.250 0.750 0.500
Tc2 0.500 0.500 0.000

(10)
# Ce2TmC2Br2

A geometry-optimized Ce2TmC2Br2 structure (GGA-PBE, the Alexandria database).

energy: -6.159 eV per atom

a = 8.265 Å, b = 8.265 Å, c = 8.265 Å
α = 148.11°, β = 148.11°, γ = 45.72°
Fractional coordinates of all 7 atoms:
Ce1 0.094 0.094 0.000
Ce2 0.906 0.906 0.000
Tm1 0.500 0.500 0.000
C1 0.000 0.500 0.500
C2 0.500 0.000 0.500
Br1 0.309 0.309 0.000
Br2 0.691 0.691 0.000

(11)
# Pu2Ge3IrPt4

A geometry-optimized Pu2Ge3IrPt4 structure (GGA-PBE, the Alexandria database).

energy of formation from the pure elements: -0.573 eV/atom

a = 4.016 Å, b = 4.016 Å, c = 11.651 Å
α = 90.00°, β = 90.00°, γ = 90.00°
Fractional coordinates of all 10 atoms:
Pu1 0.000 0.500 0.236
Pu2 0.500 0.000 0.764
Ge1 0.000 0.000 0.000
Ge2 0.000 0.500 0.632
Ge3 0.500 0.000 0.368
Ir1 0.500 0.500 0.000
Pt1 0.000 0.000 0.500
Pt2 0.000 0.500 0.840
Pt3 0.500 0.000 0.160
Pt4 0.500 0.500 0.500

(12)
# K3Au2Br7

A geometry-optimized K3Au2Br7 structure (GGA-PBE, the Alexandria database).

energy: -2.718 eV per atom

a = 13.929 Å, b = 13.929 Å, c = 13.929 Å
α = 157.41°, β = 157.41°, γ = 32.16°
Fractional coordinates of all 12 atoms:
K1 0.000 0.000 0.000
K2 0.177 0.177 0.000
K3 0.823 0.823 0.000
Au1 0.400 0.400 0.000
Au2 0.600 0.600 0.000
Br1 0.095 0.595 0.500
Br2 0.301 0.301 0.000
Br3 0.405 0.905 0.500
Br4 0.500 0.500 0.000
Br5 0.595 0.095 0.500
Br6 0.699 0.699 0.000
Br7 0.905 0.405 0.500